1.
# BeTcPb2, relaxed, DFT PBE-GGA
# - Density of states at the Fermi level: 7.59 states/eV/cell
# - Total magnetic moment: 0.00 μB per formula unit
# - Calculated formation energy: 334 kJ/mol of formula units
data_BeTcPb2
_cell_length_a 4.094
_cell_length_b 4.094
_cell_length_c 9.326
_cell_angle_alpha 90.00
_cell_angle_beta 90.00
_cell_angle_gamma 90.00
_symmetry_space_group_name_H-M 'I -4 m 2'
_symmetry_Int_Tables_number 119
_symmetry_space_group_name_Hall 'I -4 -2'
loop_
_atom_site_label
_atom_site_type_symbol
_atom_site_fract_x
_atom_site_fract_y
_atom_site_fract_z
_atom_site_occupancy
Be1 Be 0.000 0.000 0.000 1
Tc1 Tc 0.000 0.500 0.250 1
Pb1 Pb 0.000 0.000 0.500 1
Pb2 Pb 0.000 0.500 0.750 1


2.
# BeTc2Pb, relaxed, DFT PBE-GGA
# - Density of states at the Fermi level: 21.91 states/eV/cell
# - Total magnetic moment: 0.00 μB per formula unit
# - Calculated formation energy: 259 kJ/mol of formula units
data_BeTc2Pb
_cell_length_a 6.278
_cell_length_b 6.278
_cell_length_c 6.278
_cell_angle_alpha 90.00
_cell_angle_beta 90.00
_cell_angle_gamma 90.00
_symmetry_space_group_name_H-M 'F m -3 m'
_symmetry_Int_Tables_number 225
_symmetry_space_group_name_Hall '-F 4 2 3'
loop_
_atom_site_label
_atom_site_type_symbol
_atom_site_fract_x
_atom_site_fract_y
_atom_site_fract_z
_atom_site_occupancy
Be1 Be 0.000 0.000 0.000 1
Tc1 Tc 0.250 0.250 0.250 1
Pb1 Pb 0.000 0.000 0.500 1


3.
# BeTcPb, relaxed, DFT PBE-GGA
# - Density of states at the Fermi level: 2.57 states/eV/cell
# - Total magnetic moment: 0.00 μB per formula unit
# - Calculated formation energy: 148 kJ/mol of formula units
data_BeTcPb
_cell_length_a 4.0351
_cell_length_b 4.0351
_cell_length_c 3.4840
_cell_angle_alpha 90.00
_cell_angle_beta 90.00
_cell_angle_gamma 120.00
_symmetry_space_group_name_H-M 'P -6 m 2'
_symmetry_Int_Tables_number 187
_symmetry_space_group_name_Hall 'P -6 2'
loop_
_atom_site_label
_atom_site_type_symbol
_atom_site_fract_x
_atom_site_fract_y
_atom_site_fract_z
_atom_site_occupancy
Be1 Be 0.0000 0.0000 0.0000 1
Tc1 Tc 0.6667 0.3333 0.0000 1
Pb1 Pb 0.3333 0.6667 0.5000 1


4.
# BeTc2Pb, relaxed, DFT PBE-GGA
# - Density of states at the Fermi level: 2.11 states/eV/cell
# - Total magnetic moment: 0.00 μB per formula unit
# - Calculated formation energy: 79 kJ/mol of formula units
data_BeTc2Pb
_cell_length_a 3.102
_cell_length_b 3.102
_cell_length_c 6.520
_cell_angle_alpha 90.00
_cell_angle_beta 90.00
_cell_angle_gamma 90.00
_symmetry_space_group_name_H-M 'P 4 m m'
_symmetry_Int_Tables_number 99
loop_
_symmetry_equiv_pos_as_xyz
'x,y,z'
'-y,x,z'
'-x,-y,z'
'y,-x,z'
'-x,y,z'
'y,x,z'
'x,-y,z'
'-y,-x,z'
loop_
_atom_site_label
_atom_site_type_symbol
_atom_site_fract_x
_atom_site_fract_y
_atom_site_fract_z
_atom_site_occupancy
Be1 Be 0.000 0.000 0.000 1
Tc1 Tc 0.000 0.000 0.625 1
Tc2 Tc 0.500 0.500 0.868 1
Pb1 Pb 0.500 0.500 0.318 1


5.
# BeTcPb, relaxed, DFT PBE-GGA
# - Density of states at the Fermi level: 4.36 states/eV/cell
# - Total magnetic moment: 0.75 μB per formula unit
# - Calculated formation energy: 110 kJ/mol of formula units
data_BeTcPb
_cell_length_a 3.222
_cell_length_b 3.222
_cell_length_c 9.603
_cell_angle_alpha 90.00
_cell_angle_beta 90.00
_cell_angle_gamma 90.00
_symmetry_space_group_name_H-M 'I 4 m m'
_symmetry_Int_Tables_number 107
_symmetry_space_group_name_Hall 'I 4 -2'
loop_
_atom_site_label
_atom_site_type_symbol
_atom_site_fract_x
_atom_site_fract_y
_atom_site_fract_z
_atom_site_occupancy
Be1 Be 0.000 0.000 0.000 1
Tc1 Tc 0.000 0.000 0.427 1
Pb1 Pb 0.000 0.000 0.724 1


6.
# BeTc2Pb, relaxed, DFT PBE-GGA
# - Density of states at the Fermi level: 8.39 states/eV/cell
# - Total magnetic moment: 0.00 μB per formula unit
# - Calculated formation energy: 180 kJ/mol of formula units
data_BeTc2Pb
_cell_length_a 3.2390
_cell_length_b 3.2390
_cell_length_c 21.0666
_cell_angle_alpha 90.00
_cell_angle_beta 90.00
_cell_angle_gamma 120.00
_symmetry_space_group_name_H-M 'R -3 m'
_symmetry_Int_Tables_number 166
_symmetry_space_group_name_Hall '-R 3 2"'
loop_
_atom_site_label
_atom_site_type_symbol
_atom_site_fract_x
_atom_site_fract_y
_atom_site_fract_z
_atom_site_occupancy
Be1 Be 0.0000 0.0000 0.0000 1
Tc1 Tc 0.0000 0.0000 0.2779 1
Pb1 Pb 0.0000 0.0000 0.5000 1


7.
# BeTcPb2, relaxed, DFT PBE-GGA
# - Density of states at the Fermi level: 17.28 states/eV/cell
# - Total magnetic moment: 2.34 μB per formula unit
# - Calculated formation energy: 397 kJ/mol of formula units
data_BeTcPb2
_cell_length_a 7.510
_cell_length_b 7.510
_cell_length_c 6.033
_cell_angle_alpha 90.00
_cell_angle_beta 90.00
_cell_angle_gamma 90.00
_symmetry_space_group_name_H-M 'I -4 2 d'
_symmetry_Int_Tables_number 122
_symmetry_space_group_name_Hall 'I -4 2bw'
loop_
_atom_site_label
_atom_site_type_symbol
_atom_site_fract_x
_atom_site_fract_y
_atom_site_fract_z
_atom_site_occupancy
Be1 Be 0.000 0.000 0.000 1
Tc1 Tc 0.000 0.000 0.500 1
Pb1 Pb 0.215 0.250 0.125 1


8.
# BeTc2Pb, relaxed, DFT PBE-GGA
# - Density of states at the Fermi level: 8.72 states/eV/cell
# - Total magnetic moment: 2.22 μB per formula unit
# - Calculated formation energy: 278 kJ/mol of formula units
data_BeTc2Pb
_cell_length_a 3.952
_cell_length_b 3.952
_cell_length_c 8.128
_cell_angle_alpha 90.00
_cell_angle_beta 90.00
_cell_angle_gamma 90.00
_symmetry_space_group_name_H-M 'I 4/m m m'
_symmetry_Int_Tables_number 139
_symmetry_space_group_name_Hall '-I 4 2'
loop_
_atom_site_label
_atom_site_type_symbol
_atom_site_fract_x
_atom_site_fract_y
_atom_site_fract_z
_atom_site_occupancy
Be1 Be 0.000 0.000 0.000 1
Tc1 Tc 0.000 0.500 0.250 1
Pb1 Pb 0.000 0.000 0.500 1